1.
This record from the Alexandria database describes an optimized crystal structure of MgGaAs. The functional is PBE.

## Properties
Space group: C2
E_form, meV/atom: -335.1
E above lowest polymorph, kJ per mole of atoms: 0.6
Total magnetization, μB/f.u.: 0.000

a b c (Å): 8.030 4.612 7.897
angles (deg): 90.00 108.41 90.00
Atoms (fractional coordinates):
Mg: 0.649 0.758 0.234
Mg: 0.351 0.758 0.766
Mg: 0.649 0.258 0.734
Mg: 0.351 0.258 0.266
Ga: 0.986 0.184 0.306
Ga: 0.014 0.184 0.694
Ga: 0.986 0.684 0.806
Ga: 0.014 0.684 0.194
As: 0.715 0.260 0.414
As: 0.285 0.260 0.586
As: 0.715 0.760 0.914
As: 0.285 0.760 0.086

***

2.
This record from the Alexandria database describes an optimized crystal structure of Mg2GaAs. The functional is PBE.

## Properties
Space group: P1
E_form, meV/atom: -317.1
E above lowest polymorph, kJ per mole of atoms: 5.3
Total magnetization, μB/f.u.: 0.000

a b c (Å): 4.342 4.644 9.770
angles (deg): 101.46 102.80 90.08
Atoms (fractional coordinates):
Mg: 0.428 0.147 0.376
Mg: 0.773 0.499 0.066
Mg: 0.951 0.660 0.422
Mg: 0.121 0.777 0.773
Ga: 0.593 0.199 0.709
Ga: 0.029 0.229 0.581
As: 0.360 0.592 0.242
As: 0.695 0.944 0.922

***

3.
This record from the Alexandria database describes an optimized crystal structure of Mg2GaAs. The functional is PBE.

## Properties
Space group: P-1
E_form, meV/atom: -318.1
E above lowest polymorph, kJ per mole of atoms: 5.2
Total magnetization, μB/f.u.: 0.000

a b c (Å): 4.225 6.327 7.210
angles (deg): 78.88 90.03 70.62
Atoms (fractional coordinates):
Mg: 0.856 0.784 0.929
Mg: 0.144 0.216 0.071
Mg: 0.364 0.774 0.479
Mg: 0.636 0.226 0.521
Ga: 0.015 0.471 0.684
Ga: 0.985 0.529 0.316
As: 0.240 0.019 0.753
As: 0.760 0.981 0.247

***

4.
This record from the Alexandria database describes an optimized crystal structure of Mg2GaAs. The functional is PBE.

## Properties
Space group: I-42d
E_form, meV/atom: -68.6
E above lowest polymorph, kJ per mole of atoms: 29.3
Total magnetization, μB/f.u.: 0.000

a b c (Å): 7.506 7.506 6.174
angles (deg): 52.56 52.56 90.00
Atoms (fractional coordinates):
As: 0.000 0.000 0.000
As: 0.750 0.250 0.500
Mg: 0.655 0.125 0.250
Mg: 0.095 0.625 0.250
Mg: 0.375 0.345 0.750
Mg: 0.875 0.905 0.750
Ga: 0.500 0.500 0.000
Ga: 0.250 0.750 0.500

***

5.
This record from the Alexandria database describes an optimized crystal structure of Mg2GaAs. The functional is PBE.

## Properties
Space group: R3m
E_form, meV/atom: -297.1
E above lowest polymorph, kJ per mole of atoms: 7.3
Total magnetization, μB/f.u.: 0.000

a b c (Å): 4.194 4.194 17.485
angles (deg): 90.00 90.00 120.00
Atoms (fractional coordinates):
Mg: 0.000 0.000 0.165
Mg: 0.333 0.667 0.832
Mg: 0.667 0.333 0.498
Mg: 0.000 0.000 0.979
Mg: 0.333 0.667 0.645
Mg: 0.667 0.333 0.312
Ga: 0.000 0.000 0.407
Ga: 0.333 0.667 0.074
Ga: 0.667 0.333 0.741
As: 0.000 0.000 0.564
As: 0.333 0.667 0.230
As: 0.667 0.333 0.897

***

6.
This record from the Alexandria database describes an optimized crystal structure of Mg2GaAs2. The functional is PBE.

## Properties
Space group: P4/mbm
E_form, meV/atom: -204.4
E above lowest polymorph, kJ per mole of atoms: 5.1
Total magnetization, μB/f.u.: 0.000

a b c (Å): 8.046 8.046 3.160
angles (deg): 90.00 90.00 90.00
Atoms (fractional coordinates):
As: 0.163 0.663 0.500
As: 0.663 0.837 0.500
As: 0.837 0.337 0.500
As: 0.337 0.163 0.500
Mg: 0.363 0.863 0.000
Mg: 0.863 0.637 0.000
Mg: 0.637 0.137 0.000
Mg: 0.137 0.363 0.000
Ga: 0.000 0.000 0.000
Ga: 0.500 0.500 0.000

***

no.,uncorrected energy (eV/atom)
1,-3.425
2,-3.033
3,-3.035
4,-2.785
5,-3.013
6,-3.307